First-principles (GGA+U) data for a relaxed structure of FeCuF, as listed in Alexandria via LeMat-Bulk.

Cell: 4.895 2.869 5.837 Å, 90.00 101.48 90.00°
Site moments in Bohr magnetons follow the coordinates.
Fractional positions:
1 Fe 0.516 0.250 0.276  3.65
2 Fe 0.484 0.750 0.724  3.65
3 Cu 0.904 0.250 0.637  0.06
4 Cu 0.096 0.750 0.363  0.06
5 F 0.277 0.250 0.923  0.05
6 F 0.723 0.750 0.077  0.05

## Properties
ΔE to the lowest computed polymorph: 154 meV per atom